[1]
The following is a PBE calculation of crystalline La7TbY2 at its relaxed geometry, from Alexandria via LeMat-Bulk.

It has space group Cmmm (No. 65), with a = 6.821 Å, b = 29.544 Å, c = 3.523 Å, α = 90.00°, β = 90.00° and γ = 90.00°. The asymmetric unit holds La at (0.000, 0.000, 0.000), La at (0.000, 0.308, 0.500), La at (0.240, 0.400, 0.000), Tb at (0.000, 0.500, 0.500) and Y at (0.000, 0.204, 0.000).

As for the formation energy: 0.15 eV per atom. The calculation puts the energy above the lowest structure with this stoichiometry at 0.0000 eV/atom. The volume is 710.0 Å³ per cell. As for the spin magnetization: 0.00 μB per formula unit.

***

[2]
The following is a PBE calculation of crystalline La5Tb4Y2 at its relaxed geometry, from Alexandria via LeMat-Bulk.

It has space group C2/m (No. 12), with a = 18.294 Å, b = 3.625 Å, c = 11.968 Å, α = 90.00°, β = 102.07° and γ = 90.00°. The asymmetric unit holds La at (0.000, 0.000, 0.000), La at (0.149, 0.500, 0.510), La at (0.165, 0.500, 0.002), Tb at (0.018, 0.500, 0.727), Tb at (0.188, 0.000, 0.763) and Y at (0.150, 0.000, 0.254).

As for the formation energy: 0.12 eV per atom. The calculation puts the energy above the lowest structure with this stoichiometry at 0.0000 eV/atom. The volume is 776.1 Å³ per cell. As for the spin magnetization: 0.00 μB per formula unit.

***

[3]
The following is a PBE calculation of crystalline La4TbY10 at its relaxed geometry, from Alexandria via LeMat-Bulk.

It has space group I4/m (No. 87), with a = 12.247 Å, b = 12.247 Å, c = 7.723 Å, α = 90.00°, β = 90.00° and γ = 90.00°. The asymmetric unit holds La at (0.100, 0.702, 0.000), Tb at (0.000, 0.000, 0.500), Y at (0.000, 0.500, 0.250) and Y at (0.098, 0.199, 0.254).

As for the formation energy: 0.79 eV per atom. The volume is 1158.3 Å³ per cell. As for the spin magnetization: 5.85 μB per formula unit.

***

[4]
The following is a PBE calculation of crystalline La3Tb7Y at its relaxed geometry, from Alexandria via LeMat-Bulk.

It has space group P-1 (No. 2), with a = 5.587 Å, b = 7.033 Å, c = 10.122 Å, α = 70.78°, β = 89.98° and γ = 89.95°. The asymmetric unit holds La at (0.000, 0.000, 0.000), La at (0.500, 0.282, 0.504), Tb at (0.000, 0.000, 0.500), Tb at (0.000, 0.424, 0.671), Tb at (0.500, 0.147, 0.211), Tb at (0.500, 0.324, 0.865) and Y at (0.000, 0.500, 0.000).

As for the formation energy: 0.14 eV per atom. The calculation puts the energy above the lowest structure with this stoichiometry at 0.0000 eV/atom. The volume is 375.6 Å³ per cell. As for the spin magnetization: 0.00 μB per formula unit.

***

[5]
The following is a PBE calculation of crystalline La5Tb2Y6 at its relaxed geometry, from Alexandria via LeMat-Bulk.

It has space group Pbam (No. 55), with a = 11.785 Å, b = 20.897 Å, c = 3.642 Å, α = 90.00°, β = 90.00° and γ = 90.00°. The asymmetric unit holds La at (0.000, 0.000, 0.000), La at (0.079, 0.271, 0.000), La at (0.201, 0.548, 0.000), Tb at (0.172, 0.710, 0.500), Y at (0.061, 0.418, 0.500), Y at (0.080, 0.131, 0.500) and Y at (0.177, 0.860, 0.000).

As for the formation energy: 0.09 eV per atom. The volume is 896.8 Å³ per cell. As for the spin magnetization: 0.00 μB per formula unit.

***

[6]
The following is a PBE calculation of crystalline La5Tb6Y2 at its relaxed geometry, from Alexandria via LeMat-Bulk.

It has space group Pbam (No. 55), with a = 11.776 Å, b = 20.846 Å, c = 3.642 Å, α = 90.00°, β = 90.00° and γ = 90.00°. The asymmetric unit holds La at (0.000, 0.000, 0.000), La at (0.083, 0.272, 0.000), La at (0.200, 0.548, 0.000), Tb at (0.061, 0.418, 0.500), Tb at (0.081, 0.131, 0.500), Tb at (0.175, 0.861, 0.000) and Y at (0.171, 0.710, 0.500).

As for the formation energy: 0.09 eV per atom. The volume is 894.0 Å³ per cell. As for the spin magnetization: 0.00 μB per formula unit.

***

[7]
The following is a PBE calculation of crystalline La3Tb3Y at its relaxed geometry, from Alexandria via LeMat-Bulk.

It has space group R-3 (No. 148, hexagonal axes), with a = 8.8936 Å, b = 8.8936 Å, c = 21.4320 Å, α = 90.00°, β = 90.00° and γ = 120.00°. The asymmetric unit holds La at (0.0048, 0.7573, 0.0571), Tb at (0.0550, 0.7851, 0.2144) and Y at (0.0000, 0.0000, 0.3563).

As for the formation energy: 0.25 eV per atom. The volume is 1468.1 Å³ per cell. As for the spin magnetization: 0.00 μB per formula unit.

***

[8]
The following is a PBE calculation of crystalline La7Tb3Y2 at its relaxed geometry, from Alexandria via LeMat-Bulk.

It has space group P2/m (No. 10), with a = 6.562 Å, b = 3.585 Å, c = 17.847 Å, α = 90.00°, β = 95.64° and γ = 90.00°. The asymmetric unit holds La at (0.000, 0.000, 0.000), La at (0.225, 0.500, 0.172), La at (0.263, 0.500, 0.492), La at (0.277, 0.000, 0.833), Tb at (0.456, 0.000, 0.337), Tb at (0.500, 0.500, 0.000) and Y at (0.057, 0.500, 0.669).

As for the formation energy: 0.06 eV per atom. The volume is 417.8 Å³ per cell. As for the spin magnetization: 0.00 μB per formula unit.

***

[9]
The following is a PBE calculation of crystalline LaTb4Y8 at its relaxed geometry, from Alexandria via LeMat-Bulk.

It has space group R-3m (No. 166, hexagonal axes), with a = 7.3439 Å, b = 7.3439 Å, c = 27.2090 Å, α = 90.00°, β = 90.00° and γ = 120.00°. The asymmetric unit holds La at (0.0000, 0.0000, 0.0000), Tb at (0.0000, 0.0000, 0.5000), Tb at (0.0000, 0.5000, 0.5000), Y at (0.0000, 0.0000, 0.2809) and Y at (0.0347, 0.5174, 0.2686).

As for the formation energy: 0.19 eV per atom. The volume is 1270.9 Å³ per cell. As for the spin magnetization: 0.00 μB per formula unit.

***

[10]
The following is a PBE calculation of crystalline LaTb15Y4 at its relaxed geometry, from Alexandria via LeMat-Bulk.

It has space group P4/mmm (No. 123), with a = 5.054 Å, b = 5.054 Å, c = 25.282 Å, α = 90.00°, β = 90.00° and γ = 90.00°. The asymmetric unit holds La at (0.000, 0.000, 0.000), Tb at (0.000, 0.500, 0.102), Tb at (0.000, 0.500, 0.301), Tb at (0.000, 0.500, 0.500), Tb at (0.500, 0.500, 0.000), Tb at (0.500, 0.500, 0.202), Tb at (0.500, 0.500, 0.400), Y at (0.000, 0.000, 0.201) and Y at (0.000, 0.000, 0.400).

As for the formation energy: 0.02 eV per atom. The volume is 645.8 Å³ per cell. As for the spin magnetization: 0.00 μB per formula unit.

***

[11]
The following is a PBE calculation of crystalline La5Tb4Y at its relaxed geometry, from Alexandria via LeMat-Bulk.

It has space group Pmmn (No. 59, origin choice 2), with a = 6.840 Å, b = 9.241 Å, c = 11.538 Å, α = 90.00°, β = 90.00° and γ = 90.00°. The asymmetric unit holds La at (0.004, 0.067, 0.217), La at (0.250, 0.250, 0.711), Tb at (0.004, 0.750, 0.044), Tb at (0.250, 0.052, 0.494) and Y at (0.250, 0.750, 0.323).

As for the formation energy: 0.33 eV per atom. The calculation puts the energy above the lowest structure with this stoichiometry at 0.2457 eV/atom. The volume is 729.3 Å³ per cell. As for the spin magnetization: 0.00 μB per formula unit.

***

[12]
The following is a PBE calculation of crystalline La2Tb15Y2 at its relaxed geometry, from Alexandria via LeMat-Bulk.

It has space group R-3m (No. 166, hexagonal axes), with a = 11.3708 Å, b = 11.3708 Å, c = 17.4915 Å, α = 90.00°, β = 90.00° and γ = 120.00°. The asymmetric unit holds La at (0.0000, 0.0000, 0.1708), Tb at (0.0000, 0.2962, 0.5000), Tb at (0.0000, 0.5000, 0.0000), Tb at (0.0104, 0.5052, 0.6396) and Y at (0.0000, 0.0000, 0.4029).

As for the formation energy: 0.26 eV per atom. The volume is 1958.6 Å³ per cell. As for the spin magnetization: 1.53 μB per formula unit.

***

[13]
The following is a PBE calculation of crystalline La4TbY8 at its relaxed geometry, from Alexandria via LeMat-Bulk.

It has space group R-3m (No. 166, hexagonal axes), with a = 11.1552 Å, b = 11.1552 Å, c = 13.6216 Å, α = 90.00°, β = 90.00° and γ = 120.00°. The asymmetric unit holds La at (0.0000, 0.0000, 0.0000), La at (0.0000, 0.5000, 0.0000), Tb at (0.0000, 0.0000, 0.5000), Y at (0.0000, 0.0000, 0.2404) and Y at (0.0125, 0.5062, 0.7463).

As for the formation energy: 0.54 eV per atom. The volume is 1468.0 Å³ per cell. As for the spin magnetization: 3.61 μB per formula unit.

***

[14]
The following is a PBE calculation of crystalline LaTb7Y12 at its relaxed geometry, from Alexandria via LeMat-Bulk.

It has space group R-3m (No. 166, hexagonal axes), with a = 13.3957 Å, b = 13.3957 Å, c = 12.6000 Å, α = 90.00°, β = 90.00° and γ = 120.00°. The asymmetric unit holds La at (0.0000, 0.0000, 0.0000), Tb at (0.0000, 0.0000, 0.5000), Tb at (0.0362, 0.5181, 0.6206), Y at (0.0000, 0.2621, 0.5000) and Y at (0.0898, 0.1796, 0.2656).

As for the formation energy: 0.10 eV per atom. The calculation puts the energy above the lowest structure with this stoichiometry at 0.0000 eV/atom. The volume is 1958.1 Å³ per cell. As for the spin magnetization: 0.00 μB per formula unit.

***

[15]
The following is a PBE calculation of crystalline La2Tb12Y5 at its relaxed geometry, from Alexandria via LeMat-Bulk.

It has space group C2/m (No. 12), with a = 15.967 Å, b = 9.238 Å, c = 8.595 Å, α = 90.00°, β = 91.11° and γ = 90.00°. The asymmetric unit holds La at (0.000, 0.187, 0.000), Tb at (0.059, 0.000, 0.330), Tb at (0.094, 0.500, 0.884), Tb at (0.126, 0.191, 0.652), Tb at (0.157, 0.319, 0.245), Y at (0.000, 0.500, 0.500), Y at (0.198, 0.000, 0.009) and Y at (0.233, 0.500, 0.576).

As for the formation energy: 0.13 eV per atom. The calculation puts the energy above the lowest structure with this stoichiometry at 0.0697 eV/atom. The volume is 1267.4 Å³ per cell. As for the spin magnetization: 0.00 μB per formula unit.

***

[16]
The following is a PBE calculation of crystalline La6Tb8Y at its relaxed geometry, from Alexandria via LeMat-Bulk.

It has space group R-3 (No. 148, hexagonal axes), with a = 9.1869 Å, b = 9.1869 Å, c = 21.2409 Å, α = 90.00°, β = 90.00° and γ = 120.00°. The asymmetric unit holds La at (0.0532, 0.8065, 0.2124), Tb at (0.0000, 0.0000, 0.0770), Tb at (0.0805, 0.5149, 0.3058) and Y at (0.0000, 0.0000, 0.5000).

As for the formation energy: 0.11 eV per atom. The volume is 1552.5 Å³ per cell. As for the spin magnetization: 0.00 μB per formula unit.

***

[17]
The following is a PBE calculation of crystalline La5Tb2Y12 at its relaxed geometry, from Alexandria via LeMat-Bulk.

It has space group C2/m (No. 12), with a = 12.377 Å, b = 7.209 Å, c = 15.275 Å, α = 90.00°, β = 108.44° and γ = 90.00°. The asymmetric unit holds La at (0.000, 0.000, 0.000), La at (0.094, 0.500, 0.099), La at (0.249, 0.500, 0.498), Tb at (0.000, 0.251, 0.500), Y at (0.088, 0.245, 0.290), Y at (0.156, 0.500, 0.693), Y at (0.157, 0.000, 0.696) and Y at (0.172, 0.260, 0.891).

As for the formation energy: 0.10 eV per atom. The volume is 1292.9 Å³ per cell. As for the spin magnetization: 0.00 μB per formula unit.